# 1
The following is a PBE calculation of an optimized crystal structure of PmNdPd4, from Alexandria via LeMat-Bulk.

Cell: 10.1359 10.1359 5.8895 Å, 90.00 90.00 155.64°
Last column: nearest neighbours and their distance in Å.
Fractional positions:
1 Pm 0.0774 0.9226 0.7500  11 Pd 2.95-3.02
2 Pm 0.9226 0.0774 0.2500  11 Pd 2.95-3.02
3 Nd 0.2238 0.7762 0.2500  7 Pd 2.98-3.02
4 Nd 0.7762 0.2238 0.7500  7 Pd 2.98-3.02
5 Pd 0.0726 0.9274 0.2500  8 Pd 2.93-2.97, 3 Pm 2.95-2.97, 1 Nd 3.00
6 Pd 0.3544 0.6456 0.5139  5 Pd 2.78-3.11, 2 Pm 2.97, 3 Nd 2.98-3.02
7 Pd 0.3544 0.6456 0.9861  5 Pd 2.78-3.11, 2 Pm 2.97, 3 Nd 2.98-3.02
8 Pd 0.5000 0.5000 0.0000  8 Pd 2.89-2.97, 4 Pm 3.02
9 Pd 0.5000 0.5000 0.5000  8 Pd 2.89-2.97, 4 Pm 3.02
10 Pd 0.6456 0.3544 0.0139  5 Pd 2.78-3.11, 2 Pm 2.97, 3 Nd 2.98-3.02
11 Pd 0.6456 0.3544 0.4861  5 Pd 2.78-3.11, 2 Pm 2.97, 3 Nd 2.98-3.02
12 Pd 0.9274 0.0726 0.7500  8 Pd 2.93-2.97, 3 Pm 2.95-2.97, 1 Nd 3.00

- Symmetry: Cmcm
- Magnetic moment: 0.000 μB per atom
- Energy above the lowest structure with this stoichiometry: 0.000 eV/atom

# 2
The following is a PBE calculation of an optimized crystal structure of Pm3NdPd12, from Alexandria via LeMat-Bulk.

Cell: 4.1801 4.1801 16.8378 Å, 90.00 90.00 90.00°
Last column: nearest neighbours and their distance in Å.
Fractional positions:
1 Pm 0.0000 0.0000 0.0000  12 Pd 2.96
2 Pm 0.0000 0.0000 0.2494  12 Pd 2.96
3 Pm 0.0000 0.0000 0.7506  12 Pd 2.96
4 Nd 0.0000 0.0000 0.5000  12 Pd 2.96-2.98
5 Pd 0.0000 0.5000 0.1247  8 Pd 2.96, 4 Pm 2.96
6 Pd 0.0000 0.5000 0.3741  8 Pd 2.96-2.98, 2 Pm 2.96, 2 Nd 2.98
7 Pd 0.0000 0.5000 0.6259  8 Pd 2.96-2.98, 2 Pm 2.96, 2 Nd 2.98
8 Pd 0.0000 0.5000 0.8753  8 Pd 2.96, 4 Pm 2.96
9 Pd 0.5000 0.0000 0.1247  8 Pd 2.96, 4 Pm 2.96
10 Pd 0.5000 0.0000 0.3741  8 Pd 2.96-2.98, 2 Pm 2.96, 2 Nd 2.98
11 Pd 0.5000 0.0000 0.6259  8 Pd 2.96-2.98, 2 Pm 2.96, 2 Nd 2.98
12 Pd 0.5000 0.0000 0.8753  8 Pd 2.96, 4 Pm 2.96
13 Pd 0.5000 0.5000 0.0000  4 Pm 2.96, 8 Pd 2.96
14 Pd 0.5000 0.5000 0.2495  4 Pm 2.96, 8 Pd 2.96
15 Pd 0.5000 0.5000 0.5000  4 Nd 2.96, 8 Pd 2.98
16 Pd 0.5000 0.5000 0.7505  4 Pm 2.96, 8 Pd 2.96

- Symmetry: P4/mmm
- Magnetic moment: 0.000 μB per atom

# 3
The following is a PBE calculation of an optimized crystal structure of PmNd2Pd6, from Alexandria via LeMat-Bulk.

Cell: 7.6228 7.6228 7.6228 Å, 149.44 109.46 78.80°
Last column: nearest neighbours and their distance in Å.
Fractional positions:
1 Pm 0.0000 0.0000 0.0000  8 Pd 2.95-2.96
2 Nd 0.3335 0.3335 0.0000  8 Pd 2.96-2.98
3 Nd 0.6665 0.6665 0.0000  8 Pd 2.96-2.98
4 Pd 0.0841 0.8336 0.2504  4 Pd 2.81, 1 Pm 2.95, 3 Nd 2.96-2.98
5 Pd 0.2469 0.5000 0.7469  4 Pd 2.81, 2 Pm 2.96, 2 Nd 2.97
6 Pd 0.4168 0.1664 0.2504  4 Pd 2.81, 1 Pm 2.95, 3 Nd 2.96-2.98
7 Pd 0.5832 0.8336 0.7496  4 Pd 2.81, 1 Pm 2.95, 3 Nd 2.96-2.98
8 Pd 0.7531 0.5000 0.2531  4 Pd 2.81, 2 Pm 2.96, 2 Nd 2.97
9 Pd 0.9159 0.1664 0.7496  4 Pd 2.81, 1 Pm 2.95, 3 Nd 2.96-2.98

- Symmetry: Immm
- Magnetic moment: 0.000 μB per atom

# 4
The following is a PBE calculation of an optimized crystal structure of Pm4Nd3Pd4, from Alexandria via LeMat-Bulk.

Cell: 9.1629 9.1629 9.1629 Å, 149.11 130.38 59.60°
Last column: nearest neighbours and their distance in Å.
Fractional positions:
1 Pm 0.0498 0.8297 0.2201  4 Pd 2.81-3.01
2 Pm 0.3904 0.1703 0.2201  4 Pd 2.81-3.01
3 Pm 0.6096 0.8297 0.7799  4 Pd 2.81-3.01
4 Pm 0.9502 0.1703 0.7799  4 Pd 2.81-3.01
5 Nd 0.0000 0.5000 0.5000  6 Pd 3.21-3.45
6 Nd 0.3997 0.3997 0.0000  1 Nd 3.19, 4 Pd 3.24, 4 Pm 3.44
7 Nd 0.6003 0.6003 0.0000  1 Nd 3.19, 4 Pd 3.24, 4 Pm 3.44
8 Pd 0.2021 0.7021 0.5000  6 Pm 2.96-3.01, 1 Nd 3.21
9 Pd 0.3172 0.0000 0.3172  2 Pm 2.81, 1 Pd 2.81
10 Pd 0.6828 0.0000 0.6828  2 Pm 2.81, 1 Pd 2.81
11 Pd 0.7979 0.2979 0.5000  6 Pm 2.96-3.01, 1 Nd 3.21

- Symmetry: Immm
- Magnetic moment: 0.000 μB per atom

# 5
The following is a PBE calculation of an optimized crystal structure of Pm5NdPd2, from Alexandria via LeMat-Bulk.

Cell: 6.6707 6.6707 18.9111 Å, 90.00 90.00 145.60°
Last column: nearest neighbours and their distance in Å.
Fractional positions:
1 Pm 0.0601 0.9399 0.6115  2 Pd 3.30, 6 Pm 3.40-3.64
2 Pm 0.0601 0.9399 0.8885  2 Pd 3.30, 6 Pm 3.40-3.64
3 Pm 0.3531 0.6469 0.5390  2 Pd 2.85
4 Pm 0.3531 0.6469 0.9610  2 Pd 2.85
5 Pm 0.3687 0.6313 0.2500  2 Pd 2.84
6 Pm 0.6313 0.3687 0.7500  2 Pd 2.84
7 Pm 0.6469 0.3531 0.0390  2 Pd 2.85
8 Pm 0.6469 0.3531 0.4610  2 Pd 2.85
9 Pm 0.9399 0.0601 0.1115  2 Pd 3.30, 6 Pm 3.40-3.64
10 Pm 0.9399 0.0601 0.3885  2 Pd 3.30, 6 Pm 3.40-3.64
11 Nd 0.3641 0.6359 0.7500  4 Pd 3.26, 3 Pm 3.41-3.56
12 Nd 0.6359 0.3641 0.2500  4 Pd 3.26, 3 Pm 3.41-3.56
13 Pd 0.2344 0.7656 0.1301  3 Pm 2.84-2.85
14 Pd 0.2344 0.7656 0.3699  3 Pm 2.84-2.85
15 Pd 0.7656 0.2344 0.6301  3 Pm 2.84-2.85
16 Pd 0.7656 0.2344 0.8699  3 Pm 2.84-2.85

- Symmetry: Cmcm
- Magnetic moment: 0.000 μB per atom

# 6
The following is a PBE calculation of an optimized crystal structure of Pm2NdPd, from Alexandria via LeMat-Bulk.

Cell: 9.7966 9.7966 9.7966 Å, 23.06 23.06 23.06°
Last column: nearest neighbours and their distance in Å.
Fractional positions:
1 Pm 0.0000 0.0000 0.0000  3 Pd 2.90
2 Pm 0.2064 0.2064 0.2064  3 Pd 2.90
3 Nd 0.4369 0.4369 0.4369  6 Pm 3.71-3.73, 6 Nd 3.92
4 Pd 0.6030 0.6030 0.6030  6 Pm 2.90

- Symmetry: R3m
- Magnetic moment: 0.000 μB per atom
- Energy above the lowest structure with this stoichiometry: 0.146 eV/atom

Energy of formation per entry: -803 -785 -527 -504 -325 -269 meV/atom
Raw total energy per entry: -5.851 -5.869 -5.576 -5.420 -5.189 -5.135 eV per atom